# 1
# Pu8Ir3Rh2, optimized geometry, DFT PBE
# E = -318.5 eV/cell
# Spin magnetization = 1.6 Bohr magnetons per cell
# Formation energy from the elements = -3.33 eV/f.u.
# Density = 16.4 g/cm3
data_Pu8Ir3Rh2
_cell_length_a 10.977
_cell_length_b 10.080
_cell_length_c 5.403
_cell_angle_alpha 90.00
_cell_angle_beta 112.54
_cell_angle_gamma 90.00
_space_group_name_H-M_alt 'C 1 2/m 1'
_space_group_IT_number 12
_space_group_name_Hall '-C 2y'
loop_
_atom_site_label
_atom_site_fract_x
_atom_site_fract_y
_atom_site_fract_z
Pu1 0.133 0.000 0.133
Pu2 0.153 0.236 0.663
Pu3 0.166 0.500 0.272
Ir1 0.000 0.000 0.500
Ir2 0.000 0.272 0.000
Rh1 0.100 0.500 0.746


# 2
# TbEu2Tl, optimized geometry, DFT PBE
# E = -28.0 eV/cell
# Spin magnetization = 15.5 Bohr magnetons per cell
# Formation energy from the elements = -0.50 eV/f.u.
# Density = 8.1 g/cm3
data_TbEu2Tl
_cell_length_a 3.749
_cell_length_b 3.749
_cell_length_c 9.724
_cell_angle_alpha 90.00
_cell_angle_beta 90.00
_cell_angle_gamma 90.00
_space_group_name_H-M_alt 'P 4/m m m'
_space_group_IT_number 123
_space_group_name_Hall '-P 4 2'
loop_
_atom_site_label
_atom_site_fract_x
_atom_site_fract_y
_atom_site_fract_z
Tb1 0.000 0.000 0.000
Eu1 0.500 0.500 0.275
Tl1 0.000 0.000 0.500